[1]
First-principles (GGA-PBE) data for HRuW after structural relaxation, as listed in the Alexandria database.

Values from the calculation:
**Energy above the most stable polymorph in this dataset**: 0 meV per atom

Unit cell a=9.477 b=2.873 c=4.948 alpha=90.00 beta=99.67 gamma=90.00
Space group C2/m (No. 12)
Symmetry-distinct sites (fractional):
H (0.189, 0.000, 0.064) [4 per cell]
Ru (0.123, 0.000, 0.383) [4 per cell]
W (0.105, 0.500, 0.832) [4 per cell]

=====

[2]
First-principles (GGA-PBE) data for KBe2Se after structural relaxation, as listed in the Alexandria database.

Values from the calculation:
**Uncorrected formation energy**: 3.10 kJ/mol of atoms

Unit cell a=3.444 b=3.441 c=6.776 alpha=90.00 beta=90.09 gamma=90.00
Space group Pm (No. 6)
Symmetry-distinct sites (fractional):
K (0.000, 0.000, 0.000) [1 per cell]
Be (0.499, 0.000, 0.427) [1 per cell]
Be (0.999, 0.500, 0.427) [1 per cell]
Se (0.499, 0.500, 0.653) [1 per cell]

=====

no.,spin magnetization (μB/atom)
1,0.000
2,0.000